# 1
Density functional theory data (PBE+U) for a relaxed structure of PuMn2CrO6.

The structure in CIF format:
```
data_PuMn2CrO6
_chemical_formula_sum 'Pu3 Mn6 Cr3 O18'
_symmetry_space_group_name_H-M 'R 3'
_symmetry_Int_Tables_number 146
_symmetry_space_group_name_Hall 'R 3'
_cell_length_a 5.4043
_cell_length_b 5.4043
_cell_length_c 14.4559
_cell_angle_alpha 90.00
_cell_angle_beta 90.00
_cell_angle_gamma 120.00
loop_
_atom_site_label
_atom_site_fract_x
_atom_site_fract_y
_atom_site_fract_z
Pu1 0.0000 0.0000 0.0000
Mn1 0.0000 0.0000 0.2095
Mn2 0.0000 0.0000 0.7139
Cr1 0.0000 0.0000 0.5029
O1 0.0107 0.6339 0.7641
O2 0.0154 0.3020 0.5921
```

Calculated values
Its density of states at the Fermi level is 0.8822 states/eV/atom. Its magnetization is 18.000 μB/cell. The calculation puts the raw total energy at -8.7509 eV/atom. As for the crystal system: trigonal.

---

# 2
Density functional theory data (PBE+U) for a relaxed structure of PuMnCrO6.

The structure in CIF format:
```
data_PuMnCrO6
_chemical_formula_sum 'Pu2 Mn2 Cr2 O12'
_symmetry_space_group_name_H-M 'P -3 1 c'
_symmetry_Int_Tables_number 163
_symmetry_space_group_name_Hall '-P 3 2c'
_cell_length_a 5.2560
_cell_length_b 5.2560
_cell_length_c 9.3495
_cell_angle_alpha 90.00
_cell_angle_beta 90.00
_cell_angle_gamma 120.00
loop_
_atom_site_label
_atom_site_fract_x
_atom_site_fract_y
_atom_site_fract_z
Pu1 0.3333 0.6667 0.2500
Mn1 0.0000 0.0000 0.0000
Cr1 0.3333 0.6667 0.7500
O1 0.0017 0.3505 0.6355
```

Calculated values
Its magnetization is 2.027 μB/cell. The calculation puts the raw total energy at -8.6070 eV/atom. As for the crystal system: trigonal.

---

# 3
Density functional theory data (PBE+U) for a relaxed structure of RbMnCr2O8.

The structure in CIF format:
```
data_RbMnCr2O8
_chemical_formula_sum 'Rb1 Mn1 Cr2 O8'
_symmetry_space_group_name_H-M 'P -3'
_symmetry_Int_Tables_number 147
_cell_length_a 5.2562
_cell_length_b 5.2562
_cell_length_c 8.1855
_cell_angle_alpha 90.00
_cell_angle_beta 90.00
_cell_angle_gamma 120.00
loop_
_symmetry_equiv_pos_as_xyz
'x,y,z'
'-x,-y,-z'
'-y,x-y,z'
'y,-x+y,-z'
'-x+y,-x,z'
'x-y,x,-z'
loop_
_atom_site_label
_atom_site_fract_x
_atom_site_fract_y
_atom_site_fract_z
Rb1 0.0000 0.0000 0.0000
Mn1 0.0000 0.0000 0.5000
Cr1 0.3333 0.6667 0.7105
O1 0.0665 0.3359 0.6457
O2 0.3333 0.6667 0.9097
```

Calculated values
Its density of states at the Fermi level is 0.4196 states/eV/atom. Its magnetization is 4.000 μB/cell. The calculation puts the raw total energy at -6.6484 eV/atom. As for the crystal system: trigonal.

---

# 4
Density functional theory data (PBE+U) for a relaxed structure of RbMnCrO4.

The structure in CIF format:
```
data_RbMnCrO4
_chemical_formula_sum 'Rb2 Mn2 Cr2 O8'
_symmetry_space_group_name_H-M 'P 1 21/m 1'
_symmetry_Int_Tables_number 11
_cell_length_a 5.307
_cell_length_b 5.946
_cell_length_c 7.817
_cell_angle_alpha 90.00
_cell_angle_beta 103.83
_cell_angle_gamma 90.00
loop_
_symmetry_equiv_pos_as_xyz
'x,y,z'
'-x,-y,-z'
'-x,y+1/2,-z'
'x,-y+1/2,z'
loop_
_atom_site_label
_atom_site_fract_x
_atom_site_fract_y
_atom_site_fract_z
Rb1 0.200 0.250 0.123
Mn1 0.147 0.750 0.509
Cr1 0.368 0.250 0.697
O1 0.136 0.027 0.678
O2 0.412 0.750 0.111
O3 0.475 0.250 0.507
```

Calculated values
Its magnetization is 12.000 μB/cell. The calculation puts the raw total energy at -6.6632 eV/atom. As for the crystal system: monoclinic.

---

# 5
Density functional theory data (PBE+U) for a relaxed structure of MnCr2ReO8.

The structure in CIF format:
```
data_MnCr2ReO8
_chemical_formula_sum 'Mn2 Cr4 Re2 O16'
_symmetry_space_group_name_H-M 'C m m m'
_symmetry_Int_Tables_number 65
_symmetry_space_group_name_Hall '-C 2 2'
_cell_length_a 6.409
_cell_length_b 6.616
_cell_length_c 6.162
_cell_angle_alpha 90.00
_cell_angle_beta 90.00
_cell_angle_gamma 90.00
loop_
_atom_site_label
_atom_site_fract_x
_atom_site_fract_y
_atom_site_fract_z
Mn1 0.000 0.000 0.000
Cr1 0.000 0.500 0.247
Re1 0.000 0.000 0.500
O1 0.000 0.196 0.276
O2 0.198 0.500 0.000
O3 0.201 0.500 0.500
```

Calculated values
Its density of states at the Fermi level is 0.2702 states/eV/atom. Its magnetization is 20.000 μB/cell. The calculation puts the raw total energy at -7.8750 eV/atom. As for the crystal system: orthorhombic.

---

# 6
Density functional theory data (PBE+U) for a relaxed structure of MnCr2RhO6.

The structure in CIF format:
```
data_MnCr2RhO6
_chemical_formula_sum 'Mn1 Cr2 Rh1 O6'
_symmetry_space_group_name_H-M 'P 1'
_symmetry_Int_Tables_number 1
_cell_length_a 5.152
_cell_length_b 5.152
_cell_length_c 5.519
_cell_angle_alpha 117.76
_cell_angle_beta 90.03
_cell_angle_gamma 119.94
loop_
_symmetry_equiv_pos_as_xyz
'x,y,z'
loop_
_atom_site_label
_atom_site_fract_x
_atom_site_fract_y
_atom_site_fract_z
Mn1 0.000 0.000 0.000
Cr1 0.292 0.584 0.876
Cr2 0.797 0.595 0.392
Rh1 0.489 0.978 0.468
O1 0.085 0.769 0.179
O2 0.193 0.775 0.675
O3 0.410 0.496 0.179
O4 0.582 0.481 0.674
O5 0.683 0.093 0.178
O6 0.899 0.092 0.675
```

Calculated values
Its density of states at the Fermi level is 0.3800 states/eV/atom. Its magnetization is 10.000 μB/cell. The calculation puts the raw total energy at -7.4745 eV/atom. As for the crystal system: triclinic.